DFT (PBE) results for a relaxed TaHgIr3 crystal.

a = 4.799 Å, b = 4.799 Å, c = 4.799 Å
α = 90.00°, β = 90.00°, γ = 90.00°
Space group Pm-3m (No. 221)
One atom of each set of equivalent atoms:
Ta 0.000 0.000 0.000 x1
Hg 0.500 0.500 0.500 x1
Ir 0.000 0.500 0.500 x3

Computed properties:
As for the mass density: 14.39 Mg/m³. As for the magnetization: 0.000 μB/f.u. For the energy above the most stable polymorph in this dataset, the calculation gives 1025 meV per atom. For the energy relative to the elements, the calculation gives 2.418 eV/atom.

DFT (PBE) results for a relaxed TaHgIr2 crystal.

a = 3.515 Å, b = 3.515 Å, c = 5.667 Å
α = 90.00°, β = 90.00°, γ = 90.00°
Space group P4mm (No. 99)
One atom of each set of equivalent atoms:
Ta 0.000 0.000 0.000 x1
Hg 0.500 0.500 0.317 x1
Ir 0.000 0.000 0.559 x1
Ir 0.500 0.500 0.827 x1

Computed properties:
As for the mass density: 18.17 Mg/m³. As for the magnetization: 0.000 μB/f.u. For the energy relative to the elements, the calculation gives 0.167 eV/atom.

DFT (PBE) results for a relaxed TaHgIr2 crystal.

a = 2.969 Å, b = 3.691 Å, c = 6.149 Å
α = 90.00°, β = 90.12°, γ = 90.00°
Space group P2/m (No. 10)
One atom of each set of equivalent atoms:
Ta 0.000 0.000 0.000 x1
Hg 0.000 0.000 0.500 x1
Ir 0.500 0.500 0.231 x2

Computed properties:
As for the mass density: 18.88 Mg/m³. As for the magnetization: 0.000 μB/f.u. For the energy relative to the elements, the calculation gives -0.166 eV/atom.

DFT (PBE) results for a relaxed Ta2HgIr crystal.

a = 3.102 Å, b = 3.694 Å, c = 6.240 Å
α = 90.00°, β = 90.00°, γ = 90.00°
Space group Pmm2 (No. 25)
One atom of each set of equivalent atoms:
Ta 0.000 0.000 0.000 x1
Ta 0.500 0.500 0.260 x1
Hg 0.000 0.000 0.522 x1
Ir 0.500 0.500 0.794 x1

Computed properties:
As for the mass density: 17.53 Mg/m³. As for the magnetization: 0.000 μB/f.u. For the energy relative to the elements, the calculation gives 0.004 eV/atom.

DFT (PBE) results for a relaxed TaHgIr2 crystal.

a = 2.9676 Å, b = 2.9676 Å, c = 27.3112 Å
α = 90.00°, β = 90.00°, γ = 120.00°
Space group R-3m (No. 166, hexagonal axes)
One atom of each set of equivalent atoms:
Ta 0.0000 0.0000 0.0000 x3
Hg 0.0000 0.0000 0.5000 x3
Ir 0.0000 0.0000 0.2580 x6

Computed properties:
As for the mass density: 18.32 Mg/m³. As for the magnetization: 0.000 μB/f.u. For the energy relative to the elements, the calculation gives -0.047 eV/atom.

DFT (PBE) results for a relaxed TaHgIr2 crystal.

a = 2.968 Å, b = 2.968 Å, c = 7.780 Å
α = 90.00°, β = 90.00°, γ = 90.00°
Space group P4/mmm (No. 123)
One atom of each set of equivalent atoms:
Ta 0.000 0.000 0.000 x1
Hg 0.000 0.000 0.500 x1
Ir 0.500 0.500 0.224 x2

Computed properties:
As for the mass density: 18.56 Mg/m³. As for the magnetization: 0.000 μB/f.u. For the energy relative to the elements, the calculation gives -0.191 eV/atom.

DFT (PBE) results for a relaxed Ta2HgIr crystal.

a = 2.908 Å, b = 2.908 Å, c = 8.338 Å
α = 90.00°, β = 90.00°, γ = 90.00°
Space group P4/mmm (No. 123)
One atom of each set of equivalent atoms:
Ta 0.000 0.000 0.227 x2
Hg 0.500 0.500 0.500 x1
Ir 0.500 0.500 0.000 x1

Computed properties:
As for the mass density: 17.77 Mg/m³. As for the magnetization: 0.000 μB/f.u. For the energy relative to the elements, the calculation gives -0.115 eV/atom.

DFT (PBE) results for a relaxed TaHg2Ir crystal.

a = 2.986 Å, b = 4.949 Å, c = 5.051 Å
α = 90.00°, β = 90.00°, γ = 90.00°
Space group Pmmm (No. 47)
One atom of each set of equivalent atoms:
Ta 0.000 0.000 0.000 x1
Hg 0.000 0.500 0.500 x1
Hg 0.500 0.000 0.500 x1
Ir 0.500 0.500 0.000 x1

Computed properties:
As for the mass density: 17.23 Mg/m³. As for the magnetization: 0.000 μB/f.u. For the energy above the most stable polymorph in this dataset, the calculation gives 344 meV per atom. For the energy relative to the elements, the calculation gives 0.392 eV/atom.

DFT (PBE) results for a relaxed Ta2HgIr crystal.

a = 4.017 Å, b = 4.017 Å, c = 8.741 Å
α = 90.00°, β = 90.00°, γ = 90.00°
Space group I-4m2 (No. 119)
One atom of each set of equivalent atoms:
Ta 0.000 0.000 0.000 x2
Ta 0.000 0.500 0.250 x2
Hg 0.000 0.500 0.750 x2
Ir 0.000 0.000 0.500 x2

Computed properties:
As for the mass density: 17.77 Mg/m³. As for the magnetization: 0.000 μB/f.u. For the energy relative to the elements, the calculation gives 0.159 eV/atom.

DFT (PBE) results for a relaxed Ta2HgIr2 crystal.

a = 7.782 Å, b = 7.782 Å, c = 2.915 Å
α = 90.00°, β = 90.00°, γ = 90.00°
Space group P4/mbm (No. 127)
One atom of each set of equivalent atoms:
Ta 0.162 0.338 0.000 x4
Hg 0.000 0.000 0.500 x2
Ir 0.130 0.630 0.500 x4

Computed properties:
As for the mass density: 17.81 Mg/m³. As for the magnetization: 0.000 μB/f.u. For the energy above the most stable polymorph in this dataset, the calculation gives 0 meV per atom. For the energy relative to the elements, the calculation gives -0.327 eV/atom.

DFT (PBE) results for a relaxed TaHgIr2 crystal.

a = 4.195 Å, b = 4.195 Å, c = 3.786 Å
α = 90.00°, β = 90.00°, γ = 90.00°
Space group P4/mmm (No. 123)
One atom of each set of equivalent atoms:
Ta 0.000 0.000 0.000 x1
Hg 0.500 0.500 0.000 x1
Ir 0.000 0.500 0.500 x2

Computed properties:
As for the mass density: 19.09 Mg/m³. As for the magnetization: 0.000 μB/f.u. For the energy relative to the elements, the calculation gives 0.056 eV/atom.

DFT (PBE) results for a relaxed Ta2HgIr crystal.

a = 2.914 Å, b = 4.705 Å, c = 5.072 Å
α = 90.00°, β = 90.12°, γ = 90.00°
Space group Pm (No. 6)
One atom of each set of equivalent atoms:
Ta 0.000 0.000 0.000 x1
Ta 0.004 0.500 0.663 x1
Hg 0.502 0.500 0.169 x1
Ir 0.502 0.000 0.507 x1

Computed properties:
As for the mass density: 18.02 Mg/m³. As for the magnetization: 0.000 μB/f.u. For the energy relative to the elements, the calculation gives 0.024 eV/atom.

> mass density of number 5 (TaHgIr2)?

18.32 Mg/m³